Record 1
# Zr2TeBr | Alexandria via LeMat-Bulk | PBEsol | optimized geometry
data_Zr2TeBr
_symmetry_space_group_name_H-M 'P 1'
_symmetry_Int_Tables_number 1
_cell_length_a 5.019
_cell_length_b 5.019
_cell_length_c 5.019
_cell_angle_alpha 60.00
_cell_angle_beta 60.00
_cell_angle_gamma 60.00
loop_
_symmetry_equiv_pos_as_xyz
'x,y,z'
loop_
_atom_site_label
_atom_site_type_symbol
_atom_site_fract_x
_atom_site_fract_y
_atom_site_fract_z
_atom_site_occupancy
Te1 Te 0.750 0.750 0.750 1
Zr1 Zr 0.000 0.000 0.000 1
Zr2 Zr 0.250 0.250 0.250 1
Br1 Br 0.500 0.500 0.500 1
# Distance to the lowest polymorph of the same formula, eV per formula unit: 1.35
# E_tot, eV per atom: -5.81
# Spin magnetization, μB/cell: 0.62
# Formation energy without anion corrections, kJ/mol of atoms: 8.5

---

Record 2
# ZrTeBr | Alexandria via LeMat-Bulk | PBEsol | optimized geometry
data_ZrTeBr
_symmetry_space_group_name_H-M 'P 1'
_symmetry_Int_Tables_number 1
_cell_length_a 4.795
_cell_length_b 4.795
_cell_length_c 4.795
_cell_angle_alpha 60.00
_cell_angle_beta 60.00
_cell_angle_gamma 60.00
loop_
_symmetry_equiv_pos_as_xyz
'x,y,z'
loop_
_atom_site_label
_atom_site_type_symbol
_atom_site_fract_x
_atom_site_fract_y
_atom_site_fract_z
_atom_site_occupancy
Zr1 Zr 0.500 0.500 0.500 1
Br1 Br 0.250 0.250 0.250 1
Te1 Te 0.000 0.000 0.000 1
# E_tot, eV per atom: -4.70
# Spin magnetization, μB/cell: 0.64
# Formation energy without anion corrections, kJ/mol of atoms: 12.0

---

no.,ρ (g/cm³)
1,7.242
2,6.364